The following is a DFT calculation (PBE) of Mo2RhBr after structural relaxation.

a = 4.867 Å, b = 4.867 Å, c = 7.414 Å
α = 120.55°, β = 120.55°, γ = 37.06°
Element x y z (fractional)
Mo 0.230 0.230 0.362
Mo 0.770 0.770 0.638
Rh 0.000 0.000 0.500
Br 0.500 0.500 0.000

Summary:
Crystal system: monoclinic
ρ: 6.96 g/cm3
Total magnetization: 0.00 μB/f.u.
Formation energy without anion corrections: 0.46 eV/atom

=====

The following is a DFT calculation (PBE) of MoRhBr after structural relaxation.

a = 7.149 Å, b = 6.881 Å, c = 2.980 Å
α = 82.83°, β = 72.75°, γ = 24.43°
Element x y z (fractional)
Mo 0.000 0.000 0.000
Rh 0.644 0.644 0.356
Br 0.333 0.333 0.667

Summary:
Crystal system: orthorhombic
ρ: 8.60 g/cm3
Total magnetization: 0.00 μB/f.u.
Formation energy without anion corrections: 0.59 eV/atom

=====

The following is a DFT calculation (PBE) of Mo2RhBr after structural relaxation.

a = 4.467 Å, b = 4.467 Å, c = 4.467 Å
α = 60.00°, β = 60.00°, γ = 60.00°
Element x y z (fractional)
Mo 0.250 0.250 0.250
Mo 0.750 0.750 0.750
Rh 0.000 0.000 0.000
Br 0.500 0.500 0.500

Summary:
Crystal system: cubic
ρ: 9.87 g/cm3
Total magnetization: 0.00 μB/f.u.
Formation energy without anion corrections: 0.67 eV/atom

=====

The following is a DFT calculation (PBE) of Mo3RhBr after structural relaxation.

a = 4.783 Å, b = 4.783 Å, c = 4.783 Å
α = 90.00°, β = 90.00°, γ = 90.00°
Element x y z (fractional)
Mo 0.000 0.000 0.500
Mo 0.000 0.500 0.000
Mo 0.500 0.000 0.000
Rh 0.000 0.000 0.000
Br 0.500 0.500 0.500

Summary:
Crystal system: cubic
ρ: 7.14 g/cm3
Total magnetization: 0.00 μB/f.u.
Formation energy without anion corrections: 1.85 eV/atom

=====

| no. | energy above the lowest structure with this stoichiometry (meV/atom) |
| --- | --- |
| 1 | 184.1 |
| 2 | 298.2 |
| 3 | 401.4 |
| 4 | 143.8 |